This record from Alexandria describes a relaxed CaBeGaC2 crystal. The functional is GGA-PBEsol.

Summary:
**Density of states at the Fermi level**: 0.356 states/eV per atom
**Formation energy**: 1.23 eV/atom
**Total moment**: 0.00 μB/f.u.

```
data_CaBeGaC2
_chemical_formula_sum 'Ca1 Be1 Ga1 C2'
_symmetry_space_group_name_H-M 'P 1'
_symmetry_Int_Tables_number 1
_symmetry_space_group_name_Hall 'P 1'
_cell_length_a 3.859
_cell_length_b 3.859
_cell_length_c 4.208
_cell_angle_alpha 90.00
_cell_angle_beta 90.00
_cell_angle_gamma 90.00
loop_
_atom_site_label
_atom_site_type_symbol
_atom_site_fract_x
_atom_site_fract_y
_atom_site_fract_z
_atom_site_occupancy
Ca1 Ca 0.000 0.000 0.000 1
Be1 Be 0.500 0.500 0.500 1
Ga1 Ga 0.500 0.500 0.000 1
C1 C 0.000 0.500 0.500 1
C2 C 0.500 0.000 0.500 1
```